No. 1
Density functional theory data (PBE) for an optimized crystal structure of AlHSe2.

```
AlHSe2
1.0
3.860 0.002 -0.003
-1.898 3.361 0.004
-0.063 0.134 7.148
Se Al H
2 1 1
Direct
0.961 0.283 0.557
0.268 0.953 0.036
0.936 0.292 0.884
0.738 0.509 0.544
```

**Energy above the most stable polymorph in this dataset**: 0.14 eV/f.u.
**Crystal system**: triclinic
**Volume**: 92.8 Å³ per cell
**DFT total energy**: -4.0280 eV/atom


No. 2
Density functional theory data (PBE) for an optimized crystal structure of U6S12I.

```
U6S12I
1.0
7.973 0.036 0.051
-1.941 7.733 0.051
-1.941 -2.500 7.318
U S I
6 12 1
Direct
0.248 0.248 0.663
0.752 0.752 0.337
0.663 0.248 0.248
0.752 0.337 0.752
0.248 0.663 0.248
0.337 0.752 0.752
0.129 0.871 0.500
0.871 0.129 0.500
0.871 0.500 0.129
0.500 0.129 0.871
0.547 0.811 0.547
0.811 0.547 0.547
0.453 0.189 0.453
0.189 0.453 0.453
0.129 0.500 0.871
0.500 0.871 0.129
0.547 0.547 0.811
0.453 0.453 0.189
0.000 0.000 0.000
```

**Formation energy without anion corrections**: -1.252 eV/atom
**Crystal system**: trigonal
**Volume**: 453.8 Å³ per cell
**DFT total energy**: -7.5047 eV/atom


No. 3
Density functional theory data (PBE) for an optimized crystal structure of TbDyHo2.

```
TbDyHo2
1.0
3.557 0.000 0.000
1.779 3.081 0.000
1.779 1.027 11.388
Ho Dy Tb
2 1 1
Direct
0.250 0.250 0.251
0.084 0.084 0.749
0.500 0.500 0.499
0.666 0.666 0.001
```

**Energy above the most stable polymorph in this dataset**: 0.01 eV/f.u.
**DFT formation energy**: 0.008 eV/atom
**Crystal system**: trigonal
**Volume**: 124.8 Å³ per cell
**DFT total energy**: -4.5893 eV/atom